(1)
# GGA-PBE Nd3SbPt8, relaxed
# V	20.03	Å³ per atom
# E_form (uncorrected)	-861	meV/atom
data_Nd3SbPt8
_symmetry_space_group_name_H-M 'P 1'
_symmetry_Int_Tables_number 1
_cell_length_a 5.551
_cell_length_b 5.551
_cell_length_c 9.006
_cell_angle_alpha 90.00
_cell_angle_beta 90.00
_cell_angle_gamma 120.00
loop_
_symmetry_equiv_pos_as_xyz
'x,y,z'
loop_
_atom_site_label
_atom_site_fract_x
_atom_site_fract_y
_atom_site_fract_z
Nd1 0.667 0.333 0.464
Nd2 0.667 0.333 0.076
Nd3 0.000 0.000 0.904
Sb1 0.000 0.000 0.501
Pt1 0.333 0.667 0.511
Pt2 0.333 0.667 0.007
Pt3 0.501 0.003 0.762
Pt4 0.501 0.499 0.762
Pt5 0.997 0.499 0.762
Pt6 0.167 0.335 0.251
Pt7 0.167 0.833 0.251
Pt8 0.665 0.833 0.251


(2)
# GGA-PBE Er2Rh, relaxed
# V	23.83	Å³ per atom
# E_form	-0.672	eV/atom
data_Er2Rh
_symmetry_space_group_name_H-M 'P 1'
_symmetry_Int_Tables_number 1
_cell_length_a 5.720
_cell_length_b 5.720
_cell_length_c 5.717
_cell_angle_alpha 107.05
_cell_angle_beta 107.05
_cell_angle_gamma 114.54
loop_
_symmetry_equiv_pos_as_xyz
'x,y,z'
loop_
_atom_site_label
_atom_site_fract_x
_atom_site_fract_y
_atom_site_fract_z
Rh1 0.750 0.750 0.000
Rh2 0.250 0.250 0.000
Er1 0.822 0.322 0.144
Er2 0.178 0.678 0.856
Er3 0.678 0.822 0.500
Er4 0.322 0.178 0.500


(3)
# GGA-PBE Sr10MnN8, relaxed
# V	23.16	Å³ per atom
# E_form (uncorrected)	-379	meV/atom
data_Sr10MnN8
_symmetry_space_group_name_H-M 'P 1'
_symmetry_Int_Tables_number 1
_cell_length_a 11.896
_cell_length_b 4.825
_cell_length_c 8.705
_cell_angle_alpha 90.00
_cell_angle_beta 64.64
_cell_angle_gamma 78.30
loop_
_symmetry_equiv_pos_as_xyz
'x,y,z'
loop_
_atom_site_label
_atom_site_fract_x
_atom_site_fract_y
_atom_site_fract_z
Sr1 0.409 0.796 0.707
Sr2 0.591 0.204 0.293
Sr3 0.058 0.971 0.780
Sr4 0.942 0.029 0.220
Sr5 0.715 0.643 0.538
Sr6 0.285 0.357 0.462
Sr7 0.809 0.596 0.938
Sr8 0.191 0.404 0.062
Sr9 0.396 0.802 0.140
Sr10 0.604 0.198 0.860
Mn1 0.000 0.500 0.500
N1 0.182 0.909 0.955
N2 0.818 0.091 0.045
N3 0.389 0.806 0.440
N4 0.611 0.194 0.560
N5 0.618 0.691 0.864
N6 0.382 0.309 0.136
N7 0.961 0.519 0.331
N8 0.039 0.481 0.669


Ordered total magnetization results: 0.0000 0.0000 0.1659; unit μB per atom.